Record 1
EuHoHf PBE optimized geometry; VASP energy = -24.202 eV per cell; energy relative to the elements = 0.201 eV per atom
1.0
-3.384 0.255 -0.077
-0.112 -0.478 3.359
2.294 7.684 -0.545
Hf Eu Ho
1 1 1
direct
0.676 0.676 0.351
0.009 0.009 0.018
0.316 0.316 0.631

=====

Record 2
SrScSnS2 PBE optimized geometry; VASP energy = -22.181 eV per cell; formation energy from raw total energies = -0.38 eV/atom
1.0
-4.058 1.398 2.378
-3.564 -4.109 -3.667
0.708 -3.560 3.301
Sn S Sc Sr
1 2 1 1
direct
0.500 0.500 0.500
0.500 0.000 0.000
0.000 0.000 0.500
0.000 0.000 0.000
0.000 0.500 0.000